Compound: LaVCd
Source: Alexandria
Functional: GGA-PBE
Structure: relaxed

Results
- E above lowest polymorph: 37 meV per atom
- Calculated formation energy: 191 meV/atom

```
data_LaVCd
_cell_length_a 9.6281
_cell_length_b 5.2868
_cell_length_c 6.2276
_cell_angle_alpha 90.00
_cell_angle_beta 110.34
_cell_angle_gamma 90.00
_space_group_name_H-M_alt 'C 1 m 1'
_space_group_IT_number 8
loop_
_space_group_symop_operation_xyz
'x,y,z'
'x,-y,z'
'x+1/2,y+1/2,z'
'x+1/2,-y+1/2,z'
loop_
_atom_site_label
_atom_site_fract_x
_atom_site_fract_y
_atom_site_fract_z
La1 0.0000 0.0000 0.0000
La2 0.2490 0.5000 0.3738
V1 0.0815 0.0000 0.5430
V2 0.2795 0.0000 0.7553
Cd1 0.1071 0.5000 0.7790
Cd2 0.4017 0.0000 0.2883
```

=====

Compound: FeTcGe
Source: Alexandria
Functional: GGA-PBE
Structure: relaxed

Results
- E above lowest polymorph: 52 meV per atom
- Calculated formation energy: 23 meV/atom

```
data_FeTcGe
_cell_length_a 4.0817
_cell_length_b 4.0817
_cell_length_c 2.7217
_cell_angle_alpha 90.00
_cell_angle_beta 90.00
_cell_angle_gamma 120.00
_space_group_name_H-M_alt 'P -6 m 2'
_space_group_IT_number 187
_space_group_name_Hall 'P -6 2'
loop_
_atom_site_label
_atom_site_fract_x
_atom_site_fract_y
_atom_site_fract_z
Fe1 0.0000 0.0000 0.0000
Tc1 0.3333 0.6667 0.5000
Ge1 0.6667 0.3333 0.0000
```

=====

Compound: Pm3Dy3MgTe8
Source: Alexandria
Functional: GGA-PBE
Structure: relaxed

```
data_Pm3Dy3MgTe8
_cell_length_a 8.7634
_cell_length_b 8.7634
_cell_length_c 21.6846
_cell_angle_alpha 90.00
_cell_angle_beta 90.00
_cell_angle_gamma 120.00
_space_group_name_H-M_alt 'R -3 m'
_space_group_IT_number 166
_space_group_name_Hall '-R 3 2"'
loop_
_atom_site_label
_atom_site_fract_x
_atom_site_fract_y
_atom_site_fract_z
Pm1 0.0000 0.5000 0.0000
Dy1 0.0000 0.5000 0.5000
Mg1 0.0000 0.0000 0.5000
Te1 0.0000 0.0000 0.2470
Te2 0.0031 0.5016 0.2462
```

=====

Computed M_tot (μB/cell) in order:
0.00; 0.00; 0.00
Computed electronic total energy (eV per atom) in order:
-4.80; -7.79; -4.97